# CdMo2Au

Crystalline CdMo2Au at its relaxed geometry (PBEsol, Alexandria via LeMat-Bulk).

Cell lengths 3.816, 3.816, 4.485 Å; angles 90.00, 90.00, 90.00 degrees
Sites, in units of the cell vectors:
Cd 0.000 0.000 0.000
Mo 0.000 0.500 0.500
Mo 0.500 0.000 0.500
Au 0.500 0.500 0.000

## Properties
Symmetry: P4/mmm, No. 123
Energy relative to the elements (eV/atom): 0.30


# BaMg2H8Ru

Crystalline BaMg2H8Ru at its relaxed geometry (PBEsol, Alexandria via LeMat-Bulk).

Cell lengths 4.921, 4.921, 10.686 Å; angles 90.00, 90.00, 90.00 degrees
Sites, in units of the cell vectors:
Ba 0.000 0.500 0.000
Ba 0.500 0.000 0.500
Mg 0.000 0.500 0.360
Mg 0.000 0.500 0.640
Mg 0.500 0.000 0.140
Mg 0.500 0.000 0.860
H 0.000 0.000 0.092
H 0.000 0.000 0.408
H 0.000 0.000 0.592
H 0.000 0.000 0.908
H 0.244 0.244 0.250
H 0.244 0.244 0.750
H 0.244 0.756 0.250
H 0.244 0.756 0.750
H 0.256 0.500 0.500
H 0.500 0.256 0.000
H 0.500 0.744 0.000
H 0.744 0.500 0.500
H 0.756 0.244 0.250
H 0.756 0.244 0.750
H 0.756 0.756 0.250
H 0.756 0.756 0.750
Ru 0.000 0.000 0.250
Ru 0.000 0.000 0.750

## Properties
Symmetry: P4_2/mmc, No. 131


# LaSi2Ru

Crystalline LaSi2Ru at its relaxed geometry (PBEsol, Alexandria via LeMat-Bulk).

Cell lengths 4.505, 4.085, 8.310 Å; angles 90.00, 102.78, 90.00 degrees
Sites, in units of the cell vectors:
La 0.091 0.250 0.201
La 0.909 0.750 0.799
Si 0.169 0.750 0.493
Si 0.463 0.250 0.908
Si 0.537 0.750 0.092
Si 0.831 0.250 0.507
Ru 0.382 0.250 0.611
Ru 0.618 0.750 0.389

## Properties
ΔE_f (raw) (eV per atom): -0.867
Symmetry: P2_1/m, No. 11


# SiTe2

Crystalline SiTe2 at its relaxed geometry (PBEsol, Alexandria via LeMat-Bulk).

Cell lengths 3.740, 3.740, 6.696 Å; angles 90.00, 90.00, 120.00 degrees
Sites, in units of the cell vectors:
Si 0.000 0.000 0.000
Te 0.333 0.667 0.756
Te 0.667 0.333 0.244

## Properties
ΔE_f (raw) (eV per atom): 0.021
Symmetry: P-3m1, No. 164


# H3PtS

Crystalline H3PtS at its relaxed geometry (PBEsol, Alexandria via LeMat-Bulk).

Cell lengths 3.564, 3.564, 3.564 Å; angles 90.00, 90.00, 90.00 degrees
Sites, in units of the cell vectors:
H 0.000 0.000 0.500
H 0.000 0.500 0.000
H 0.500 0.000 0.000
Pt 0.000 0.000 0.000
S 0.500 0.500 0.500

## Properties
Symmetry: Pm-3m, No. 221


# KV3Cd4O12

Crystalline KV3Cd4O12 at its relaxed geometry (PBEsol, Alexandria via LeMat-Bulk).

Cell lengths 9.340, 9.340, 7.069 Å; angles 107.12, 107.12, 92.45 degrees
Sites, in units of the cell vectors:
K 0.035 0.965 0.500
K 0.965 0.035 0.000
V 0.129 0.346 0.887
V 0.298 0.703 0.500
V 0.346 0.129 0.387
V 0.655 0.879 0.111
V 0.703 0.298 0.000
V 0.879 0.655 0.611
Cd 0.061 0.383 0.395
Cd 0.269 0.737 0.007
Cd 0.383 0.061 0.895
Cd 0.474 0.486 0.788
Cd 0.486 0.474 0.288
Cd 0.621 0.937 0.599
Cd 0.737 0.269 0.507
Cd 0.937 0.621 0.099
O 0.013 0.668 0.848
O 0.042 0.397 0.072
O 0.171 0.173 0.374
O 0.173 0.171 0.874
O 0.183 0.731 0.280
O 0.270 0.820 0.719
O 0.287 0.521 0.519
O 0.296 0.477 0.962
O 0.330 0.996 0.151
O 0.397 0.042 0.572
O 0.477 0.296 0.462
O 0.477 0.716 0.479
O 0.519 0.721 0.036
O 0.521 0.287 0.019
O 0.610 0.969 0.928
O 0.668 0.013 0.348
O 0.716 0.477 0.979
O 0.721 0.519 0.536
O 0.731 0.183 0.780
O 0.820 0.270 0.219
O 0.830 0.831 0.128
O 0.831 0.830 0.628
O 0.969 0.610 0.428
O 0.996 0.330 0.651

## Properties
ΔE_f (raw) (eV per atom): -1.870
Symmetry: Cc, No. 9


no.,calculated total energy (eV per cell)
1,-27.5
2,-94.8
3,-61.0
4,-12.7
5,-18.1
6,-270.4